<a>
An optimized crystal structure of NbTl3Co, computed with PBE.

Values from the calculation:
- spin magnetization (μB per formula unit) = 0.00

a = 4.907 Å, b = 4.907 Å, c = 4.907 Å
α = 90.00°, β = 90.00°, γ = 90.00°
Positions (direct):
Tl (0.000, 0.500, 0.000)
Tl (0.000, 0.000, 0.500)
Tl (0.500, 0.000, 0.000)
Co (0.000, 0.000, 0.000)
Nb (0.500, 0.500, 0.500)

***

<b>
An optimized crystal structure of NbTl3Co, computed with PBE.

Values from the calculation:
- spin magnetization (μB per formula unit) = 2.41

a = 5.466 Å, b = 5.466 Å, c = 5.466 Å
α = 90.00°, β = 90.00°, γ = 90.00°
Site moments in Bohr magnetons follow the coordinates.
Positions (direct):
Tl (0.000, 0.500, 0.000)  0.00
Tl (0.000, 0.000, 0.500)  -0.01
Tl (0.500, 0.000, 0.000)  0.00
Co (0.500, 0.500, 0.500)  2.19
Nb (0.000, 0.000, 0.000)  0.17

***

Each structure's energy above the most stable one, in meV/atom: <a> 0; <b> 291.